Record 1
This record from Alexandria describes a geometry-optimized Cd3Sb structure. The functional is PBE.

abc: 3.358 5.779 5.211
angles: 90.00 90.00 90.00
Atoms (fractional coordinates):
Cd 0.500 0.000 0.552
Sb 0.000 0.500 0.278
Cd 0.000 0.000 0.051
Cd 0.500 0.500 0.785

Summary:
Energy relative to the lowest polymorph listed for this composition   33 meV/atom

---

Record 2
This record from Alexandria describes a geometry-optimized CdSb5 structure. The functional is PBE.

abc: 6.274 6.274 6.274
angles: 60.00 60.00 60.00
Atoms (fractional coordinates):
Sb 0.125 0.625 0.625
Sb 0.625 0.625 0.625
Sb 0.625 0.625 0.125
Cd 0.000 0.000 0.000
Sb 0.250 0.250 0.250
Sb 0.625 0.125 0.625

Summary:
Energy relative to the lowest polymorph listed for this composition   200 meV/atom

---

Record 3
This record from Alexandria describes a geometry-optimized CdSb structure. The functional is PBE.

abc: 4.205 4.205 8.629
angles: 90.00 90.00 120.00
Atoms (fractional coordinates):
Sb 0.667 0.333 0.203
Cd 0.333 0.667 0.379
Sb 0.333 0.667 0.703
Cd 0.667 0.333 0.879

Summary:
Energy relative to the lowest polymorph listed for this composition   207 meV/atom

---

Record 4
This record from Alexandria describes a geometry-optimized CdSb3 structure. The functional is PBE.

abc: 5.605 5.605 5.605
angles: 90.00 90.00 90.00
Atoms (fractional coordinates):
Sb 0.000 0.500 0.000
Cd 0.000 0.000 0.000
Sb 0.000 0.000 0.500
Sb 0.500 0.000 0.000

Summary:
Energy relative to the lowest polymorph listed for this composition   870 meV/atom

---

We obtain DOS(E_F) values of 1.37; 5.24; 1.01; 4.75 states/eV/f.u. for the records listed above, in that order.
We obtain uncorrected formation energy values of 0.081; 0.369; 0.161; 0.926 eV per atom for the records listed above, in that order.